A plane-wave DFT calculation with PBE was carried out for a relaxed TbY7Th2 crystal.

The calculated formation energy comes out at 0.034 eV per atom.

It has space group P-1 (No. 2), with a = 6.190 Å, b = 7.131 Å, c = 8.017 Å, α = 77.06°, β = 74.86° and γ = 73.55°. The asymmetric unit holds Tb at (0.000, 0.000, 0.000), Y at (0.000, 0.500, 0.000), Y at (0.197, 0.298, 0.599), Y at (0.396, 0.098, 0.206), Y at (0.403, 0.600, 0.204) and Th at (0.195, 0.802, 0.602).


A plane-wave DFT calculation with PBE was carried out for a relaxed TbY6Th2 crystal.

The calculated formation energy comes out at 0.070 eV per atom. Its distance to the lowest polymorph of the same formula is 0 meV/atom.

It has space group P-6m2 (No. 187), with a = 3.5892 Å, b = 3.5892 Å, c = 26.3615 Å, α = 90.00°, β = 90.00° and γ = 120.00°. The asymmetric unit holds Tb at (0.0000, 0.0000, 0.0000), Y at (0.0000, 0.0000, 0.2173), Y at (0.0000, 0.0000, 0.4367), Y at (0.3333, 0.6667, 0.1088) and Th at (0.3333, 0.6667, 0.3292).


A plane-wave DFT calculation with PBE was carried out for a relaxed Tb3Y5Th3 crystal.

The calculated formation energy comes out at 0.920 eV per atom. Its distance to the lowest polymorph of the same formula is 541 meV/atom.

It has space group P-62m (No. 189), with a = 9.8437 Å, b = 9.8437 Å, c = 5.4919 Å, α = 90.00°, β = 90.00° and γ = 120.00°. The asymmetric unit holds Tb at (0.0000, 0.4705, 0.0000), Y at (0.0000, 0.2693, 0.5000), Y at (0.3333, 0.6667, 0.5000) and Th at (0.0000, 0.6306, 0.5000).